No. 1
Ba3Zn4Ga2: relaxed, GGA-PBE.

Computed properties:
total energy = -2.141 eV/atom
DOS at the Fermi energy = 0.86 states/eV/atom

Geometry as CIF:
```
data_Ba3Zn4Ga2
_chemical_formula_sum 'Ba3 Zn4 Ga2'
_cell_length_a 4.6874
_cell_length_b 6.6238
_cell_length_c 9.2228
_cell_angle_alpha 106.81
_cell_angle_beta 90.00
_cell_angle_gamma 110.72
_space_group_name_H-M_alt 'P 1'
_space_group_IT_number 1
_space_group_name_Hall 'P 1'
loop_
_atom_site_label
_atom_site_fract_x
_atom_site_fract_y
_atom_site_fract_z
_atom_site_occupancy
Ba1 0.6179 0.2359 0.6807 1
Ba2 0.0000 0.0000 0.0000 1
Ba3 0.3821 0.7641 0.3193 1
Zn1 0.7275 0.4550 0.0648 1
Zn2 0.2725 0.5450 0.9352 1
Zn3 0.8720 0.7439 0.5821 1
Zn4 0.1280 0.2561 0.4179 1
Ga1 0.6711 0.3421 0.3203 1
Ga2 0.3289 0.6579 0.6797 1
```

=====

No. 2
Ba3ZnGa2: relaxed, GGA-PBE.

Computed properties:
total energy = -2.451 eV/atom
DOS at the Fermi energy = 0.86 states/eV/atom

Geometry as CIF:
```
data_Ba3ZnGa2
_chemical_formula_sum 'Ba12 Zn4 Ga8'
_cell_length_a 6.9946
_cell_length_b 10.7175
_cell_length_c 11.7147
_cell_angle_alpha 90.00
_cell_angle_beta 106.19
_cell_angle_gamma 90.00
_space_group_name_H-M_alt 'P 1'
_space_group_IT_number 1
_space_group_name_Hall 'P 1'
loop_
_atom_site_label
_atom_site_fract_x
_atom_site_fract_y
_atom_site_fract_z
_atom_site_occupancy
Ba1 0.2566 0.8672 0.9453 1
Ba2 0.2434 0.3672 0.5547 1
Ba3 0.7434 0.1328 0.0547 1
Ba4 0.7566 0.6328 0.4453 1
Ba5 0.3206 0.4945 0.1016 1
Ba6 0.1794 0.9945 0.3985 1
Ba7 0.6794 0.5055 0.8984 1
Ba8 0.8206 0.0055 0.6016 1
Ba9 0.8602 0.7755 0.1337 1
Ba10 0.6398 0.2755 0.3663 1
Ba11 0.1398 0.2245 0.8663 1
Ba12 0.3602 0.7245 0.6337 1
Zn1 0.3826 0.7774 0.2502 1
Zn2 0.1174 0.2774 0.2498 1
Zn3 0.6174 0.2226 0.7498 1
Zn4 0.8826 0.7226 0.7502 1
Ga1 0.6132 0.9646 0.2898 1
Ga2 0.8868 0.4646 0.2102 1
Ga3 0.3868 0.0354 0.7102 1
Ga4 0.1132 0.5354 0.7898 1
Ga5 0.2069 0.6009 0.3448 1
Ga6 0.2931 0.1009 0.1552 1
Ga7 0.7931 0.3991 0.6552 1
Ga8 0.7069 0.8991 0.8448 1
```

=====

No. 3
Ba3Zn2Ga4: relaxed, GGA-PBE.

Computed properties:
energy above the lowest structure with this stoichiometry = 0.00 eV/f.u.
DOS at the Fermi energy = 0.51 states/eV/atom

Geometry as CIF:
```
data_Ba3Zn2Ga4
_chemical_formula_sum 'Ba6 Zn4 Ga8'
_cell_length_a 4.4494
_cell_length_b 4.4494
_cell_length_c 30.8927
_cell_angle_alpha 90.00
_cell_angle_beta 90.00
_cell_angle_gamma 120.00
_space_group_name_H-M_alt 'P 1'
_space_group_IT_number 1
_space_group_name_Hall 'P 1'
loop_
_atom_site_label
_atom_site_fract_x
_atom_site_fract_y
_atom_site_fract_z
_atom_site_occupancy
Ba1 0.3333 0.6667 0.2497 1
Ba2 0.3333 0.6667 0.5821 1
Ba3 0.3333 0.6667 0.9154 1
Ba4 0.3333 0.6667 0.0836 1
Ba5 0.3333 0.6667 0.4179 1
Ba6 0.3333 0.6667 0.7512 1
Zn1 0.0000 0.0000 0.1666 1
Zn2 0.0000 0.0000 0.5001 1
Zn3 0.0000 0.0000 0.8333 1
Zn4 0.6667 0.3333 0.1666 1
Ga1 0.6667 0.3333 0.5002 1
Ga2 0.6667 0.3333 0.8332 1
Ga3 0.6667 0.3333 0.9991 1
Ga4 0.6667 0.3333 0.3342 1
Ga5 0.6667 0.3333 0.6667 1
Ga6 0.0000 0.0000 0.3330 1
Ga7 0.0000 0.0000 0.6667 1
Ga8 0.0000 0.0000 0.0003 1
```

=====

No. 4
Ba3ZnGa: relaxed, GGA-PBE.

Computed properties:
energy above the lowest structure with this stoichiometry = 1.76 eV/f.u.
DOS at the Fermi energy = 1.43 states/eV/atom

Geometry as CIF:
```
data_Ba3ZnGa
_chemical_formula_sum 'Ba3 Zn1 Ga1'
_cell_length_a 6.4667
_cell_length_b 6.4667
_cell_length_c 6.4667
_cell_angle_alpha 90.00
_cell_angle_beta 90.00
_cell_angle_gamma 90.00
_space_group_name_H-M_alt 'P 1'
_space_group_IT_number 1
_space_group_name_Hall 'P 1'
loop_
_atom_site_label
_atom_site_fract_x
_atom_site_fract_y
_atom_site_fract_z
_atom_site_occupancy
Zn1 0.5000 0.5000 0.5000 1
Ba1 0.0000 0.5000 0.0000 1
Ba2 0.0000 0.0000 0.5000 1
Ba3 0.5000 0.0000 0.0000 1
Ga1 0.0000 0.0000 0.0000 1
```

=====

| no. | calculated volume (A^3/atom) |
| --- | --- |
| 1 | 28.3 |
| 2 | 35.1 |
| 3 | 29.4 |
| 4 | 54.1 |